# 1
DFT (PBE-GGA) results for TbPm2ErTh after structural relaxation. Values from VASP.

Values from the calculation:
Crystal system: monoclinic
Raw total energy (eV per atom): -4.91

Cell and atoms, written as Quantum ESPRESSO input:
```
&SYSTEM
  ibrav = 0, nat = 10, ntyp = 4
/
ATOMIC_SPECIES
Tb 158.93 Tb.upf
Pm 145.00 Pm.upf
Er 167.26 Er.upf
Th 232.04 Th.upf
ATOMIC_POSITIONS crystal
Tb 0.000 0.000 0.000
Tb 0.000 0.000 0.500
Pm 0.703 0.688 0.778
Pm 0.297 0.312 0.222
Pm 0.703 0.312 0.722
Pm 0.297 0.688 0.278
Er 0.184 0.500 0.750
Er 0.816 0.500 0.250
Th 0.450 0.000 0.750
Th 0.550 0.000 0.250
CELL_PARAMETERS angstrom
-1.429 -6.120 -0.977
5.953 -0.411 -6.136
3.936 -1.673 4.723
```

=====

# 2
DFT (PBE-GGA) results for Ba6Ag2Ir after structural relaxation. Values from VASP.

Values from the calculation:
Crystal system: monoclinic
Raw total energy (eV per atom): -3.11

Cell and atoms, written as Quantum ESPRESSO input:
```
&SYSTEM
  ibrav = 0, nat = 18, ntyp = 3
/
ATOMIC_SPECIES
Ba 137.33 Ba.upf
Ir 192.22 Ir.upf
Ag 107.87 Ag.upf
ATOMIC_POSITIONS crystal
Ba 0.139 0.040 0.257
Ba 0.320 0.830 0.562
Ba 0.361 0.540 0.243
Ba 0.659 0.196 0.065
Ba 0.841 0.696 0.435
Ba 0.159 0.304 0.565
Ba 0.180 0.330 0.938
Ba 0.341 0.804 0.935
Ba 0.639 0.460 0.757
Ba 0.680 0.170 0.438
Ba 0.861 0.960 0.743
Ba 0.820 0.670 0.062
Ir 0.000 0.000 0.500
Ir 0.500 0.500 0.000
Ag 0.555 0.889 0.252
Ag 0.055 0.611 0.752
Ag 0.445 0.111 0.748
Ag 0.945 0.389 0.248
CELL_PARAMETERS angstrom
7.891 0.000 -0.004
0.000 8.892 0.000
0.358 0.000 11.722
```

=====

# 3
DFT (PBE-GGA) results for ZrFe4Mo after structural relaxation. Values from VASP.

Values from the calculation:
Crystal system: cubic
Raw total energy (eV per atom): -8.94

Cell and atoms, written as Quantum ESPRESSO input:
```
&SYSTEM
  ibrav = 0, nat = 6, ntyp = 3
/
ATOMIC_SPECIES
Mo 95.94 Mo.upf
Fe 55.84 Fe.upf
Zr 91.22 Zr.upf
ATOMIC_POSITIONS crystal
Mo 0.250 0.250 0.250
Fe 0.624 0.624 0.624
Fe 0.624 0.624 0.127
Fe 0.624 0.127 0.624
Fe 0.127 0.624 0.624
Zr 0.000 0.000 0.000
CELL_PARAMETERS angstrom
4.849 0.000 0.000
2.424 4.199 0.000
2.424 1.400 3.959
```